10
Lattice="-0.6192 1.8450 6.4561 -0.0363 -1.8992 6.4699 8.6268 1.3325 -2.8499" Properties=species:S:1:pos:R:3 comment="Er3Co2, optimized geometry, DFT PBE" delta_e_f_mev_per_atom=-219 crystal_system=monoclinic sg="C2/m, No. 12" total_energy_ry_per_atom=-0.42624 pbc="T T T"
Er 1.1479 0.2058 7.3370
Co 5.8668 0.9409 7.4320
Er 7.4025 1.1498 -0.7193
Co 2.7864 0.4522 4.9791
Er 3.7941 0.6268 9.7643
Co 2.1044 0.3374 2.6441
Co 5.1848 0.8261 5.0970
Er 0.5687 0.1285 10.7954
Er 4.1771 0.6515 0.3117
Er 6.8234 1.0724 2.7391